Entry from Alexandria: crystalline LiTlBi4 at its relaxed geometry (PBE).

Geometry as POSCAR:
```
LiTlBi4
1.0
0.0000 4.6951 4.6951
4.6951 0.0000 4.6951
4.6951 4.6951 0.0000
Li Tl Bi
1 1 4
direct
0.0000 0.0000 0.0000 Li
0.2500 0.2500 0.2500 Tl
0.1258 0.6247 0.6247 Bi
0.6247 0.1258 0.6247 Bi
0.6247 0.6247 0.1258 Bi
0.6247 0.6247 0.6247 Bi
```

## Properties
SG   F-43m, No. 216
Energy relative to the elements   0.0558 eV per atom